# Cs2CrOsI6

A geometry-optimized Cs2CrOsI6 structure (PBE, the Alexandria database).

a b c (Å): 8.082 8.082 8.096
angles (deg): 60.06 60.06 90.00
Each line ends with the local moment (μB).
Fractional positions:
I  0.758  0.758  0.000  0.01
I  0.759  0.759  0.482  0.02
I  0.241  0.241  0.518  0.02
I  0.242  0.758  0.000  0.01
I  0.242  0.242  0.000  0.01
I  0.758  0.242  0.000  0.01
Cs  0.750  0.250  0.500  0.00
Cs  0.250  0.750  0.500  0.00
Os  0.000  0.000  0.000  0.96
Cr  0.500  0.500  0.000  3.99

Computed properties:
SG: I4/mmm (139)
Calculated total energy: -3.618 eV/atom
E_form (uncorrected): -431.7 meV per atom
M_tot: 5.7 μB per formula unit
DOS at the Fermi energy: 0.884 states/eV per atom